# 1
DFT (PBE) results for a relaxed HoTe crystal.

Summary:
Total DFT energy (no corrections) ... -5.103 eV per atom

Cell lengths 6.124, 6.124, 6.124 Å; angles 90.00, 90.00, 90.00 degrees
Space group Fm-3m (No. 225)
Unique sites:
Ho1 0.000 0.000 0.000
Te1 0.000 0.000 0.500

=====

# 2
DFT (PBE) results for a relaxed HoTe2 crystal.

Summary:
Total DFT energy (no corrections) ... -4.095 eV per atom

Cell lengths 13.251, 13.251, 13.251 Å; angles 90.00, 90.00, 90.00 degrees
Space group Fd-3m (No. 227, origin choice 2)
Unique sites:
Ho1 0.125 0.125 0.125
Te1 0.000 0.000 0.000

=====

# 3
DFT (PBE) results for a relaxed HoTe crystal.

Summary:
Total DFT energy (no corrections) ... -5.119 eV per atom

Cell lengths 4.0702, 4.0702, 4.0479 Å; angles 90.00, 90.00, 120.00 degrees
Space group P-6m2 (No. 187)
Unique sites:
Ho1 0.0000 0.0000 0.0000
Te1 0.6667 0.3333 0.5000

=====

# 4
DFT (PBE) results for a relaxed Ho2Te crystal.

Summary:
Total DFT energy (no corrections) ... -3.097 eV per atom

Cell lengths 13.482, 13.482, 13.482 Å; angles 90.00, 90.00, 90.00 degrees
Space group Fd-3m (No. 227, origin choice 2)
Unique sites:
Ho1 0.000 0.000 0.000
Te1 0.125 0.125 0.125

=====

# 5
DFT (PBE) results for a relaxed HoTe2 crystal.

Summary:
Total DFT energy (no corrections) ... -3.556 eV per atom

Cell lengths 8.980, 8.980, 8.980 Å; angles 90.00, 90.00, 90.00 degrees
Space group Fd-3m (No. 227, origin choice 2)
Unique sites:
Ho1 0.125 0.125 0.125
Te1 0.000 0.000 0.500

=====

# 6
DFT (PBE) results for a relaxed HoTe crystal.

Summary:
Total DFT energy (no corrections) ... -4.678 eV per atom

Cell lengths 6.812, 6.812, 6.812 Å; angles 90.00, 90.00, 90.00 degrees
Space group F-43m (No. 216)
Unique sites:
Ho1 0.000 0.000 0.000
Te1 0.250 0.250 0.750

=====

# 7
DFT (PBE) results for a relaxed Ho2Te3 crystal.

Summary:
Total DFT energy (no corrections) ... -5.077 eV per atom

Cell lengths 11.951, 4.253, 11.823 Å; angles 90.00, 90.00, 90.00 degrees
Space group Pnma (No. 62)
Unique sites:
Ho1 0.018 0.250 0.189
Ho2 0.196 0.250 0.498
Te1 0.042 0.750 0.377
Te2 0.118 0.250 0.945
Te3 0.223 0.750 0.695

=====

# 8
DFT (PBE) results for a relaxed Ho2Te5 crystal.

Summary:
Total DFT energy (no corrections) ... -4.552 eV per atom

Cell lengths 4.363, 43.752, 4.366 Å; angles 90.00, 90.00, 90.00 degrees
Space group Cmcm (No. 63)
Unique sites:
Ho1 0.000 0.100 0.250
Ho2 0.000 0.306 0.250
Te1 0.000 0.044 0.750
Te2 0.000 0.174 0.250
Te3 0.000 0.250 0.750
Te4 0.000 0.378 0.250
Te5 0.000 0.456 0.750

=====

- Look up the total DFT energy (no corrections) of the first one.
  -5.103 eV per atom

=====

- Which value of total DFT energy (no corrections) does entry 5 give?
  -3.556 eV per atom

=====

- What is the total DFT energy (no corrections) in the fifth record?
  -3.556 eV per atom

=====

- Among the records above, which one has the highest total DFT energy (no corrections)?
  Ho2Te